Arrangement a

Below is CsYN2 after structural relaxation, with properties calculated at the PBE-GGA level.

Properties
The calculation puts the mass density at 4.93 g/cm3.

Structure (CIF):
```
data_CsYN2
_cell_length_a 7.289
_cell_length_b 7.289
_cell_length_c 7.289
_cell_angle_alpha 29.69
_cell_angle_beta 29.69
_cell_angle_gamma 29.69
_symmetry_space_group_name_H-M 'P 1'
_symmetry_Int_Tables_number 1
loop_
_symmetry_equiv_pos_as_xyz
'x,y,z'
loop_
_atom_site_label
_atom_site_type_symbol
_atom_site_fract_x
_atom_site_fract_y
_atom_site_fract_z
Cs1 Cs 0.000 0.000 0.000
Y1 Y 0.500 0.500 0.500
N1 N 0.887 0.887 0.887
N2 N 0.113 0.113 0.113
```

=====

Arrangement b

Below is CsYN2 after structural relaxation, with properties calculated at the PBE-GGA level.

Properties
The calculation puts the mass density at 3.01 g/cm3.

Structure (CIF):
```
data_CsYN2
_cell_length_a 8.049
_cell_length_b 8.049
_cell_length_c 8.049
_cell_angle_alpha 33.04
_cell_angle_beta 33.04
_cell_angle_gamma 33.04
_symmetry_space_group_name_H-M 'P 1'
_symmetry_Int_Tables_number 1
loop_
_symmetry_equiv_pos_as_xyz
'x,y,z'
loop_
_atom_site_label
_atom_site_type_symbol
_atom_site_fract_x
_atom_site_fract_y
_atom_site_fract_z
Cs1 Cs 0.500 0.500 0.500
Y1 Y 0.000 0.000 0.000
N1 N 0.916 0.916 0.916
N2 N 0.084 0.084 0.084
```

=====

The structure with the greatest stability is arrangement a.

=====

Arrangement a

Below is Cs2ZrN after structural relaxation, with properties calculated at the PBE-GGA level.

Properties
The calculation puts the mass density at 4.63 g/cm3.

Structure (CIF):
```
data_Cs2ZrN
_cell_length_a 5.730
_cell_length_b 5.730
_cell_length_c 5.730
_cell_angle_alpha 60.00
_cell_angle_beta 60.00
_cell_angle_gamma 60.00
_symmetry_space_group_name_H-M 'P 1'
_symmetry_Int_Tables_number 1
loop_
_symmetry_equiv_pos_as_xyz
'x,y,z'
loop_
_atom_site_label
_atom_site_type_symbol
_atom_site_fract_x
_atom_site_fract_y
_atom_site_fract_z
Cs1 Cs 0.250 0.250 0.250
Cs2 Cs 0.750 0.750 0.750
Zr1 Zr 0.500 0.500 0.500
N1 N 0.000 0.000 0.000
```

=====

Arrangement b

Below is Cs2ZrN after structural relaxation, with properties calculated at the PBE-GGA level.

Properties
The calculation puts the mass density at 3.19 g/cm3.

Structure (CIF):
```
data_Cs2ZrN
_cell_length_a 9.798
_cell_length_b 9.798
_cell_length_c 9.798
_cell_angle_alpha 92.65
_cell_angle_beta 92.65
_cell_angle_gamma 155.15
_symmetry_space_group_name_H-M 'P 1'
_symmetry_Int_Tables_number 1
loop_
_symmetry_equiv_pos_as_xyz
'x,y,z'
loop_
_atom_site_label
_atom_site_type_symbol
_atom_site_fract_x
_atom_site_fract_y
_atom_site_fract_z
Cs1 Cs 0.688 0.375 0.813
Cs2 Cs 0.562 0.875 0.187
Cs3 Cs 0.125 0.312 0.687
Cs4 Cs 0.625 0.438 0.313
Zr1 Zr 0.000 0.000 0.000
Zr2 Zr 0.250 0.750 0.500
N1 N 0.500 0.500 0.000
N2 N 0.750 0.250 0.500
```

=====

The structure with the greatest stability is arrangement b.

=====

Arrangement a

Below is Cs4Na3 after structural relaxation, with properties calculated at the PBE-GGA level.

Properties
The calculation puts the mass density at 1.80 g/cm3.

Structure (CIF):
```
data_Cs4Na3
_cell_length_a 5.881
_cell_length_b 18.041
_cell_length_c 18.041
_cell_angle_alpha 120.00
_cell_angle_beta 90.00
_cell_angle_gamma 90.00
_symmetry_space_group_name_H-M 'P 1'
_symmetry_Int_Tables_number 1
loop_
_symmetry_equiv_pos_as_xyz
'x,y,z'
loop_
_atom_site_label
_atom_site_type_symbol
_atom_site_fract_x
_atom_site_fract_y
_atom_site_fract_z
Cs1 Cs 0.762 0.768 0.007
Cs2 Cs 0.762 0.993 0.761
Cs3 Cs 0.762 0.239 0.232
Cs4 Cs 0.238 0.232 0.993
Cs5 Cs 0.238 0.007 0.239
Cs6 Cs 0.238 0.761 0.768
Cs7 Cs 0.754 0.618 0.486
Cs8 Cs 0.754 0.514 0.132
Cs9 Cs 0.754 0.868 0.382
Cs10 Cs 0.246 0.382 0.514
Cs11 Cs 0.246 0.486 0.868
Cs12 Cs 0.246 0.132 0.618
Na1 Na 0.746 0.333 0.667
Na2 Na 0.254 0.667 0.333
Na3 Na 0.742 0.283 0.838
Na4 Na 0.742 0.162 0.444
Na5 Na 0.742 0.556 0.717
Na6 Na 0.258 0.717 0.162
Na7 Na 0.258 0.838 0.556
Na8 Na 0.258 0.444 0.283
Na9 Na 0.500 0.000 0.000
```

=====

Arrangement b

Below is Cs4Na3 after structural relaxation, with properties calculated at the PBE-GGA level.

Properties
The calculation puts the mass density at 1.65 g/cm3.

Structure (CIF):
```
data_Cs4Na3
_cell_length_a 5.948
_cell_length_b 5.970
_cell_length_c 19.925
_cell_angle_alpha 98.38
_cell_angle_beta 90.00
_cell_angle_gamma 119.87
_symmetry_space_group_name_H-M 'P 1'
_symmetry_Int_Tables_number 1
loop_
_symmetry_equiv_pos_as_xyz
'x,y,z'
loop_
_atom_site_label
_atom_site_type_symbol
_atom_site_fract_x
_atom_site_fract_y
_atom_site_fract_z
Cs1 Cs 0.953 0.906 0.852
Cs2 Cs 0.047 0.094 0.148
Cs3 Cs 0.790 0.579 0.368
Cs4 Cs 0.210 0.421 0.632
Na1 Na 0.666 0.333 0.000
Na2 Na 0.500 0.000 0.500
Na3 Na 0.334 0.667 0.000
```

=====

The structure with the greatest stability is arrangement a.

=====

Arrangement a

Below is Cs4Na after structural relaxation, with properties calculated at the PBE-GGA level.

Properties
The calculation puts the mass density at 1.76 g/cm3.

Structure (CIF):
```
data_Cs4Na
_cell_length_a 11.162
_cell_length_b 11.162
_cell_length_c 11.162
_cell_angle_alpha 104.64
_cell_angle_beta 104.64
_cell_angle_gamma 119.64
_symmetry_space_group_name_H-M 'P 1'
_symmetry_Int_Tables_number 1
loop_
_symmetry_equiv_pos_as_xyz
'x,y,z'
loop_
_atom_site_label
_atom_site_type_symbol
_atom_site_fract_x
_atom_site_fract_y
_atom_site_fract_z
Cs1 Cs 0.709 0.407 0.302
Cs2 Cs 0.106 0.407 0.698
Cs3 Cs 0.157 0.356 0.198
Cs4 Cs 0.157 0.959 0.802
Cs5 Cs 0.644 0.843 0.802
Cs6 Cs 0.041 0.843 0.198
Cs7 Cs 0.593 0.894 0.302
Cs8 Cs 0.593 0.291 0.698
Na1 Na 0.500 0.500 0.000
Na2 Na 0.250 0.750 0.500
```

=====

Arrangement b

Below is Cs4Na after structural relaxation, with properties calculated at the PBE-GGA level.

Properties
The calculation puts the mass density at 1.87 g/cm3.

Structure (CIF):
```
data_Cs4Na
_cell_length_a 8.530
_cell_length_b 10.646
_cell_length_c 12.802
_cell_angle_alpha 114.57
_cell_angle_beta 109.46
_cell_angle_gamma 90.00
_symmetry_space_group_name_H-M 'P 1'
_symmetry_Int_Tables_number 1
loop_
_symmetry_equiv_pos_as_xyz
'x,y,z'
loop_
_atom_site_label
_atom_site_type_symbol
_atom_site_fract_x
_atom_site_fract_y
_atom_site_fract_z
Cs1 Cs 0.678 0.031 0.356
Cs2 Cs 0.178 0.325 0.356
Cs3 Cs 0.418 0.583 0.837
Cs4 Cs 0.918 0.254 0.837
Cs5 Cs 0.582 0.417 0.163
Cs6 Cs 0.082 0.746 0.163
Cs7 Cs 0.822 0.675 0.644
Cs8 Cs 0.322 0.969 0.644
Na1 Na 0.750 0.000 0.000
Na2 Na 0.250 0.000 0.000
```

=====

Arrangement c

Below is Cs4Na after structural relaxation, with properties calculated at the PBE-GGA level.

Properties
The calculation puts the mass density at 1.67 g/cm3.

Structure (CIF):
```
data_Cs4Na
_cell_length_a 8.195
_cell_length_b 8.195
_cell_length_c 8.195
_cell_angle_alpha 90.00
_cell_angle_beta 90.00
_cell_angle_gamma 90.00
_symmetry_space_group_name_H-M 'P 1'
_symmetry_Int_Tables_number 1
loop_
_symmetry_equiv_pos_as_xyz
'x,y,z'
loop_
_atom_site_label
_atom_site_type_symbol
_atom_site_fract_x
_atom_site_fract_y
_atom_site_fract_z
Cs1 Cs 0.000 0.000 0.000
Cs2 Cs 0.500 0.000 0.500
Cs3 Cs 0.000 0.500 0.500
Cs4 Cs 0.500 0.500 0.000
Na1 Na 0.500 0.500 0.500
```

=====

The structure with the greatest stability is arrangement b.

=====

Arrangement a

Below is Cs13Na2 after structural relaxation, with properties calculated at the PBE-GGA level.

Properties
The calculation puts the mass density at 1.82 g/cm3.

Structure (CIF):
```
data_Cs13Na2
_cell_length_a 13.776
_cell_length_b 13.776
_cell_length_c 12.658
_cell_angle_alpha 57.03
_cell_angle_beta 57.03
_cell_angle_gamma 60.00
_symmetry_space_group_name_H-M 'P 1'
_symmetry_Int_Tables_number 1
loop_
_symmetry_equiv_pos_as_xyz
'x,y,z'
loop_
_atom_site_label
_atom_site_type_symbol
_atom_site_fract_x
_atom_site_fract_y
_atom_site_fract_z
Cs1 Cs 0.500 0.500 0.500
Cs2 Cs 0.001 0.624 0.750
Cs3 Cs 0.624 0.624 0.750
Cs4 Cs 0.624 0.001 0.750
Cs5 Cs 0.376 0.999 0.250
Cs6 Cs 0.999 0.376 0.250
Cs7 Cs 0.376 0.376 0.250
Cs8 Cs 0.190 0.797 0.216
Cs9 Cs 0.797 0.797 0.216
Cs10 Cs 0.797 0.190 0.216
Cs11 Cs 0.203 0.810 0.784
Cs12 Cs 0.810 0.203 0.784
Cs13 Cs 0.203 0.203 0.784
Na1 Na 0.639 0.639 0.082
Na2 Na 0.361 0.361 0.918
```

=====

Arrangement b

Below is Cs13Na2 after structural relaxation, with properties calculated at the PBE-GGA level.

Properties
The calculation puts the mass density at 1.88 g/cm3.

Structure (CIF):
```
data_Cs13Na2
_cell_length_a 10.317
_cell_length_b 12.284
_cell_length_c 13.926
_cell_angle_alpha 114.64
_cell_angle_beta 88.99
_cell_angle_gamma 101.22
_symmetry_space_group_name_H-M 'P 1'
_symmetry_Int_Tables_number 1
loop_
_symmetry_equiv_pos_as_xyz
'x,y,z'
loop_
_atom_site_label
_atom_site_type_symbol
_atom_site_fract_x
_atom_site_fract_y
_atom_site_fract_z
Cs1 Cs 0.763 0.589 0.997
Cs2 Cs 0.237 0.411 0.003
Cs3 Cs 0.000 0.000 0.000
Cs4 Cs 0.176 0.987 0.645
Cs5 Cs 0.824 0.013 0.355
Cs6 Cs 0.044 0.446 0.653
Cs7 Cs 0.956 0.554 0.347
Cs8 Cs 0.484 0.657 0.426
Cs9 Cs 0.516 0.343 0.574
Cs10 Cs 0.431 0.778 0.858
Cs11 Cs 0.569 0.222 0.142
Cs12 Cs 0.711 0.105 0.752
Cs13 Cs 0.289 0.895 0.248
Na1 Na 0.802 0.723 0.682
Na2 Na 0.198 0.277 0.318
```

=====

The structure with the greatest stability is arrangement b.